Material: TiBRu2Rh
Method: DFT, PBE
State: optimized geometry

## Properties
- Calculated volume: 67 Å³/cell
- Total DFT energy (no corrections): -42.52 eV/f.u.
- ΔH_f (0 K): -2.0 eV per formula unit
- Space group: No. 123

Geometry as POSCAR:
```
TiBRu2Rh
1.0
4.0806 0.0000 0.0000
0.0000 4.0806 0.0000
0.0000 0.0000 4.0236
Ti B Ru Rh
1 1 2 1
Direct
0.0000 0.0000 0.0000
0.5000 0.5000 0.5000
0.0000 0.5000 0.5000
0.5000 0.0000 0.5000
0.5000 0.5000 0.0000
```

=====

Material: LaZr2In
Method: DFT, PBE
State: optimized geometry

## Properties
- Calculated volume: 102 Å³/cell
- Total DFT energy (no corrections): -25.09 eV/f.u.
- ΔH_f (0 K): -0.3 eV per formula unit
- Space group: No. 12

Geometry as POSCAR:
```
LaZr2In
1.0
5.4473 -1.6426 0.0000
5.4473 1.6426 0.0000
-1.1444 0.0000 5.6888
La Zr In
1 2 1
Direct
0.0000 0.0000 0.0000
0.2347 0.2347 0.7304
0.7653 0.7653 0.2696
0.5000 0.5000 0.5000
```

=====

Material: Cs2TlZn
Method: DFT, PBE
State: optimized geometry

## Properties
- Calculated volume: 416 Å³/cell
- Total DFT energy (no corrections): -4.36 eV/f.u.
- ΔH_f (0 K): 1.0 eV per formula unit
- Space group: No. 122

Geometry as POSCAR:
```
Cs2TlZn
1.0
-5.2200 5.2200 3.8144
5.2200 -5.2200 3.8144
5.2200 5.2200 -3.8144
Cs Tl Zn
4 2 2
Direct
0.0941 0.6250 0.9691
0.3750 0.3441 0.4691
0.6559 0.1250 0.0309
0.8750 0.9059 0.5309
0.2500 0.7500 0.5000
0.5000 0.5000 0.0000
0.0000 0.0000 0.0000
0.7500 0.2500 0.5000
```

=====

Material: Cr2RuPb
Method: DFT, PBE
State: optimized geometry

## Properties
- Calculated volume: 65 Å³/cell
- Total DFT energy (no corrections): -30.00 eV/f.u.
- ΔH_f (0 K): 2.2 eV per formula unit
- Space group: No. 119

Geometry as POSCAR:
```
Cr2RuPb
1.0
-2.0878 2.0878 3.7333
2.0878 -2.0878 3.7333
2.0878 2.0878 -3.7333
Cr Ru Pb
2 1 1
Direct
0.0000 0.0000 0.0000
0.7500 0.2500 0.5000
0.5000 0.5000 0.0000
0.2500 0.7500 0.5000
```

=====

Material: Sm2GdCo
Method: DFT, PBE
State: optimized geometry

## Properties
- Calculated volume: 120 Å³/cell
- Total DFT energy (no corrections): -29.87 eV/f.u.
- ΔH_f (0 K): 0.8 eV per formula unit
- Space group: No. 166

Geometry as POSCAR:
```
Sm2GdCo
1.0
1.8307 1.0569 10.3720
-1.8307 1.0569 10.3720
0.0000 -2.1139 10.3720
Sm Gd Co
2 1 1
Direct
0.1131 0.1131 0.1131
0.8869 0.8869 0.8869
0.0000 0.0000 0.0000
0.5000 0.5000 0.5000
```

=====

Material: ZnCo2AgOs
Method: DFT, PBE
State: optimized geometry

## Properties
- Calculated volume: 101 Å³/cell
- Total DFT energy (no corrections): -22.23 eV/f.u.
- ΔH_f (0 K): 7.3 eV per formula unit
- Space group: No. 123

Geometry as POSCAR:
```
ZnCo2AgOs
1.0
4.4175 0.0000 0.0000
0.0000 4.4175 0.0000
0.0000 0.0000 5.1511
Zn Co Ag Os
1 2 1 1
Direct
0.0000 0.0000 0.0000
0.0000 0.5000 0.5000
0.5000 0.0000 0.5000
0.5000 0.5000 0.0000
0.5000 0.5000 0.5000
```

=====

Number 6 is which compound?
ZnCo2AgOs

=====

The highest total DFT energy (no corrections) belongs to which entry?
Cs2TlZn

=====

Among the records above, which one has the lowest calculated volume?
Cr2RuPb